Density functional theory data (PBE) for a relaxed MnOs2PdSe crystal.

```
data_MnOs2PdSe
_symmetry_space_group_name_H-M 'P 4/m m m'
_symmetry_Int_Tables_number 123
_symmetry_space_group_name_Hall '-P 4 2'
_cell_length_a 4.4887
_cell_length_b 4.4887
_cell_length_c 4.3640
_cell_angle_alpha 90.00
_cell_angle_beta 90.00
_cell_angle_gamma 90.00
loop_
_atom_site_label
_atom_site_fract_x
_atom_site_fract_y
_atom_site_fract_z
Mn1 0.0000 0.0000 0.0000
Os1 0.0000 0.5000 0.0000
Pd1 0.5000 0.5000 0.5000
Se1 0.0000 0.0000 0.5000
```

## Properties
- total energy (eV per atom) = -6.558
- raw formation energy (eV/atom) = 1.50

Density functional theory data (PBE) for a relaxed LaHfNi2P crystal.

```
data_LaHfNi2P
_symmetry_space_group_name_H-M 'P 4/m m m'
_symmetry_Int_Tables_number 123
_symmetry_space_group_name_Hall '-P 4 2'
_cell_length_a 4.5114
_cell_length_b 4.5114
_cell_length_c 6.0570
_cell_angle_alpha 90.00
_cell_angle_beta 90.00
_cell_angle_gamma 90.00
loop_
_atom_site_label
_atom_site_fract_x
_atom_site_fract_y
_atom_site_fract_z
La1 0.0000 0.0000 0.0000
Hf1 0.0000 0.0000 0.5000
Ni1 0.0000 0.5000 0.5000
P1 0.5000 0.5000 0.0000
```

## Properties
- DFT formation energy (eV per formula unit) = 4.1
- total energy (eV per atom) = -5.549

Density functional theory data (PBE) for a relaxed PrCdGe2Pt5 crystal.

```
data_PrCdGe2Pt5
_symmetry_space_group_name_H-M 'P 4/m m m'
_symmetry_Int_Tables_number 123
_symmetry_space_group_name_Hall '-P 4 2'
_cell_length_a 4.2970
_cell_length_b 4.2970
_cell_length_c 9.1057
_cell_angle_alpha 90.00
_cell_angle_beta 90.00
_cell_angle_gamma 90.00
loop_
_atom_site_label
_atom_site_fract_x
_atom_site_fract_y
_atom_site_fract_z
Pr1 0.0000 0.0000 0.0000
Cd1 0.0000 0.0000 0.5000
Ge1 0.5000 0.5000 0.3687
Pt1 0.0000 0.5000 0.2352
Pt2 0.5000 0.5000 0.0000
```

## Properties
- DFT formation energy (eV per formula unit) = -4.9
- total energy (eV per atom) = -5.555

Density functional theory data (PBE) for a relaxed LiCa2Zn7 crystal.

```
data_LiCa2Zn7
_symmetry_space_group_name_H-M 'P -4 m 2'
_symmetry_Int_Tables_number 115
_cell_length_a 4.1058
_cell_length_b 4.1058
_cell_length_c 11.5527
_cell_angle_alpha 90.00
_cell_angle_beta 90.00
_cell_angle_gamma 90.00
loop_
_symmetry_equiv_pos_as_xyz
'x,y,z'
'y,-x,-z'
'-x,-y,z'
'-y,x,-z'
'-x,y,z'
'-y,-x,-z'
'x,-y,z'
'y,x,-z'
loop_
_atom_site_label
_atom_site_fract_x
_atom_site_fract_y
_atom_site_fract_z
Li1 0.0000 0.0000 0.0000
Ca1 0.0000 0.5000 0.7430
Zn1 0.0000 0.0000 0.5000
Zn2 0.0000 0.5000 0.1420
Zn3 0.0000 0.5000 0.3620
Zn4 0.5000 0.5000 0.0000
Zn5 0.5000 0.5000 0.5000
```

## Properties
- DFT formation energy (eV per formula unit) = -2.2
- total energy (eV per atom) = -1.701

Density functional theory data (PBE) for a relaxed Zn2NiMo crystal.

```
data_Zn2NiMo
_symmetry_space_group_name_H-M 'P 1 m 1'
_symmetry_Int_Tables_number 6
_cell_length_a 2.6239
_cell_length_b 4.0530
_cell_length_c 5.3435
_cell_angle_alpha 90.00
_cell_angle_beta 104.10
_cell_angle_gamma 90.00
loop_
_symmetry_equiv_pos_as_xyz
'x,y,z'
'x,-y,z'
loop_
_atom_site_label
_atom_site_fract_x
_atom_site_fract_y
_atom_site_fract_z
Zn1 0.0000 0.0000 0.0000
Zn2 0.3881 0.5000 0.7789
Ni1 0.2491 0.0000 0.5008
Mo1 0.6501 0.5000 0.3008
```

## Properties
- DFT formation energy (eV per formula unit) = 0.1
- total energy (eV per atom) = -4.759
- polymorph energy (0 for the lowest one) (meV per atom) = 88.0

Density functional theory data (PBE) for a relaxed NdTcOs crystal.

```
data_NdTcOs
_symmetry_space_group_name_H-M 'A m m 2'
_symmetry_Int_Tables_number 38
_cell_length_a 8.9880
_cell_length_b 5.3640
_cell_length_c 9.5540
_cell_angle_alpha 90.00
_cell_angle_beta 90.00
_cell_angle_gamma 90.00
loop_
_symmetry_equiv_pos_as_xyz
'x,y,z'
'-x,-y,z'
'-x,y,z'
'x,-y,z'
'x,y+1/2,z+1/2'
'-x,-y+1/2,z+1/2'
'-x,y+1/2,z+1/2'
'x,-y+1/2,z+1/2'
loop_
_atom_site_label
_atom_site_fract_x
_atom_site_fract_y
_atom_site_fract_z
Nd1 0.1826 0.0000 0.0000
Nd2 0.3147 0.0000 0.6677
Tc1 0.2446 0.0000 0.3371
Tc2 0.5000 0.2481 0.4152
Os1 0.0000 0.0000 0.5025
Os2 0.0000 0.2430 0.7463
Os3 0.5000 0.0000 0.1552
```

## Properties
- DFT formation energy (eV per formula unit) = -0.1
- total energy (eV per atom) = -8.836
- polymorph energy (0 for the lowest one) (meV per atom) = 0.0

Density functional theory data (PBE) for a relaxed LiHg4Bi crystal.

```
data_LiHg4Bi
_symmetry_space_group_name_H-M 'F -4 3 m'
_symmetry_Int_Tables_number 216
_symmetry_space_group_name_Hall 'F -4 2 3'
_cell_length_a 8.5412
_cell_length_b 8.5412
_cell_length_c 8.5412
_cell_angle_alpha 90.00
_cell_angle_beta 90.00
_cell_angle_gamma 90.00
loop_
_atom_site_label
_atom_site_fract_x
_atom_site_fract_y
_atom_site_fract_z
Li1 0.0000 0.0000 0.0000
Hg1 0.1253 0.1253 0.6253
Bi1 0.2500 0.2500 0.2500
```

## Properties
- DFT formation energy (eV per formula unit) = 0.2
- total energy (eV per atom) = -1.129
- polymorph energy (0 for the lowest one) (meV per atom) = 111.8

Density functional theory data (PBE) for a relaxed Pa2CoSi3 crystal.

```
data_Pa2CoSi3
_symmetry_space_group_name_H-M 'F m m m'
_symmetry_Int_Tables_number 69
_symmetry_space_group_name_Hall '-F 2 2'
_cell_length_a 7.9561
_cell_length_b 7.9614
_cell_length_c 13.7129
_cell_angle_alpha 90.00
_cell_angle_beta 90.00
_cell_angle_gamma 90.00
loop_
_atom_site_label
_atom_site_fract_x
_atom_site_fract_y
_atom_site_fract_z
Pa1 0.2483 0.0000 0.0000
Pa2 0.2500 0.2500 0.2500
Co1 0.0000 0.0000 0.1653
Si1 0.0000 0.0000 0.3291
Si2 0.0000 0.2462 0.0851
```

## Properties
- total energy (eV per atom) = -7.734
- polymorph energy (0 for the lowest one) (meV per atom) = 0.0
- raw formation energy (eV/atom) = -0.67

Density functional theory data (PBE) for a relaxed YErAs2 crystal.

```
data_YErAs2
_symmetry_space_group_name_H-M 'I 41/a m d'
_symmetry_Int_Tables_number 141
_cell_length_a 5.7997
_cell_length_b 5.7997
_cell_length_c 11.6084
_cell_angle_alpha 90.00
_cell_angle_beta 90.00
_cell_angle_gamma 90.00
loop_
_symmetry_equiv_pos_as_xyz
'x,y,z'
'-x,-y,-z'
'-y+1/4,x+3/4,z+1/4'
'y+1/4,-x+3/4,-z+1/4'
'-x+1/2,-y,z+1/2'
'x+1/2,y,-z+1/2'
'y+1/4,-x+1/4,z+3/4'
'-y+1/4,x+1/4,-z+3/4'
'x,-y,-z'
'-x,y,z'
'-y+1/4,-x+1/4,-z+3/4'
'y+1/4,x+1/4,z+3/4'
'-x+1/2,y,-z+1/2'
'x+1/2,-y,z+1/2'
'y+1/4,x+3/4,-z+1/4'
'-y+1/4,-x+3/4,z+1/4'
'x+1/2,y+1/2,z+1/2'
'-x+1/2,-y+1/2,-z+1/2'
'-y+3/4,x+1/4,z+3/4'
'y+3/4,-x+1/4,-z+3/4'
'-x,-y+1/2,z'
'x,y+1/2,-z'
'y+3/4,-x+3/4,z+1/4'
'-y+3/4,x+3/4,-z+1/4'
'x+1/2,-y+1/2,-z+1/2'
'-x+1/2,y+1/2,z+1/2'
'-y+3/4,-x+3/4,-z+1/4'
'y+3/4,x+3/4,z+1/4'
'-x,y+1/2,-z'
'x,-y+1/2,z'
'y+3/4,x+1/4,-z+3/4'
'-y+3/4,-x+1/4,z+3/4'
loop_
_atom_site_label
_atom_site_fract_x
_atom_site_fract_y
_atom_site_fract_z
Y1 0.0000 0.2500 0.3750
Er1 0.0000 0.2500 0.8750
As1 0.0000 0.2500 0.1238
```

## Properties
- DFT formation energy (eV per formula unit) = -6.2
- total energy (eV per atom) = -6.622
- polymorph energy (0 for the lowest one) (meV per atom) = 0.0

Density functional theory data (PBE) for a relaxed La4Pr3Ho crystal.

```
data_La4Pr3Ho
_symmetry_space_group_name_H-M 'P m n 21'
_symmetry_Int_Tables_number 31
_cell_length_a 12.0112
_cell_length_b 7.4840
_cell_length_c 6.4560
_cell_angle_alpha 90.00
_cell_angle_beta 90.00
_cell_angle_gamma 90.00
loop_
_symmetry_equiv_pos_as_xyz
'x,y,z'
'-x+1/2,-y,z+1/2'
'-x,y,z'
'x+1/2,-y,z+1/2'
loop_
_atom_site_label
_atom_site_fract_x
_atom_site_fract_y
_atom_site_fract_z
La1 0.0000 0.1258 0.0000
La2 0.0000 0.6280 0.9960
La3 0.2461 0.6266 0.3328
Pr1 0.0000 0.3762 0.5032
Pr2 0.2495 0.1236 0.3335
Ho1 0.0000 0.8784 0.4990
```

## Properties
- DFT formation energy (eV per formula unit) = 0.3
- total energy (eV per atom) = -4.796
- polymorph energy (0 for the lowest one) (meV per atom) = 0.0

Density functional theory data (PBE) for a relaxed K2SbSe crystal.

```
data_K2SbSe
_symmetry_space_group_name_H-M 'C m m m'
_symmetry_Int_Tables_number 65
_symmetry_space_group_name_Hall '-C 2 2'
_cell_length_a 6.2343
_cell_length_b 9.9172
_cell_length_c 3.9627
_cell_angle_alpha 90.00
_cell_angle_beta 90.00
_cell_angle_gamma 90.00
loop_
_atom_site_label
_atom_site_fract_x
_atom_site_fract_y
_atom_site_fract_z
K1 0.2500 0.2500 0.0000
Sb1 0.0000 0.0000 0.5000
Se1 0.0000 0.5000 0.5000
```

## Properties
- total energy (eV per atom) = -2.936
- polymorph energy (0 for the lowest one) (meV per atom) = 31.1
- raw formation energy (eV/atom) = -0.49

Density functional theory data (PBE) for a relaxed Cd2Ag4Pt crystal.

```
data_Cd2Ag4Pt
_symmetry_space_group_name_H-M 'C m c e'
_symmetry_Int_Tables_number 64
_symmetry_space_group_name_Hall '-C 2ac 2'
_cell_length_a 4.4600
_cell_length_b 9.4271
_cell_length_c 12.9430
_cell_angle_alpha 90.00
_cell_angle_beta 90.00
_cell_angle_gamma 90.00
loop_
_atom_site_label
_atom_site_fract_x
_atom_site_fract_y
_atom_site_fract_z
Cd1 0.0000 0.0784 0.1311
Ag1 0.0000 0.1245 0.6911
Ag2 0.0000 0.2194 0.9268
Pt1 0.0000 0.0000 0.5000
```

## Properties
- DFT formation energy (eV per formula unit) = 0.0
- total energy (eV per atom) = -2.751
- polymorph energy (0 for the lowest one) (meV per atom) = 0.0